No. 1
{"formula": "Sm3Ge4", "functional": "PBE-GGA", "state": "optimized geometry", "lattice_angstrom": [[2.085, -5.458, 0.000], [2.085, 5.458, 0.000], [0.000, 0.000, 14.502]], "species": ["Sm", "Sm", "Sm", "Sm", "Sm", "Sm", "Ge", "Ge", "Ge", "Ge", "Ge", "Ge", "Ge", "Ge"], "frac_coords": [[0.038, 0.962, 0.750], [0.326, 0.674, 0.597], [0.326, 0.674, 0.903], [0.674, 0.326, 0.097], [0.674, 0.326, 0.403], [0.962, 0.038, 0.250], [0.000, 0.000, 0.000], [0.000, 0.000, 0.500], [0.236, 0.764, 0.250], [0.385, 0.615, 0.109], [0.385, 0.615, 0.391], [0.615, 0.385, 0.609], [0.615, 0.385, 0.891], [0.764, 0.236, 0.750]], "sg": "Cmcm"}



No. 2
{"formula": "Li2YZr", "functional": "PBE-GGA", "state": "optimized geometry", "lattice_angstrom": [[7.893, 0.000, 0.000], [0.000, 7.893, 0.000], [0.000, 0.000, 5.801]], "species": ["Li", "Li", "Li", "Li", "Li", "Li", "Li", "Li", "Y", "Y", "Y", "Y", "Zr", "Zr", "Zr", "Zr"], "frac_coords": [[0.242, 0.750, 0.125], [0.250, 0.242, 0.875], [0.250, 0.258, 0.375], [0.258, 0.750, 0.625], [0.742, 0.250, 0.625], [0.750, 0.742, 0.375], [0.750, 0.758, 0.875], [0.758, 0.250, 0.125], [0.000, 0.000, 0.500], [0.000, 0.500, 0.750], [0.500, 0.000, 0.250], [0.500, 0.500, 0.000], [0.000, 0.000, 0.000], [0.000, 0.500, 0.250], [0.500, 0.000, 0.750], [0.500, 0.500, 0.500]], "sg": "I-42d", "e_above_lowest_polymorph_mev_per_atom": 362}



No. 3
{"formula": "PmPrSnRu", "functional": "PBE-GGA", "state": "optimized geometry", "lattice_angstrom": [[7.418, 0.000, 0.000], [0.000, 7.418, 0.000], [0.000, 0.000, 7.418]], "species": ["Pm", "Pm", "Pm", "Pm", "Pr", "Pr", "Pr", "Pr", "Sn", "Sn", "Sn", "Sn", "Ru", "Ru", "Ru", "Ru"], "frac_coords": [[0.000, 0.000, 0.000], [0.000, 0.500, 0.500], [0.500, 0.000, 0.500], [0.500, 0.500, 0.000], [0.000, 0.000, 0.500], [0.000, 0.500, 0.000], [0.500, 0.000, 0.000], [0.500, 0.500, 0.500], [0.250, 0.250, 0.250], [0.250, 0.750, 0.750], [0.750, 0.250, 0.750], [0.750, 0.750, 0.250], [0.250, 0.250, 0.750], [0.250, 0.750, 0.250], [0.750, 0.250, 0.250], [0.750, 0.750, 0.750]], "sg": "F-43m"}



No. 4
{"formula": "KTlSn", "functional": "PBE-GGA", "state": "optimized geometry", "lattice_angstrom": [[3.641, 0.000, 0.000], [0.000, 3.641, 0.000], [0.000, 0.000, 14.847]], "species": ["K", "K", "Tl", "Tl", "Sn", "Sn"], "frac_coords": [[0.000, 0.000, 0.000], [0.500, 0.500, 0.500], [0.000, 0.000, 0.683], [0.500, 0.500, 0.183], [0.000, 0.000, 0.320], [0.500, 0.500, 0.820]], "sg": "I4mm"}



Computed size of the total moment, in the same sequence as the records: 0.00; 0.00; 0.00; 0.00 μB/cell.
Computed formation energy, in the same sequence as the records: -796; 500; -276; -115 meV/atom.
Computed VASP energy, in the same sequence as the records: -5.46; -4.21; -5.98; -2.60 eV per atom.